First-principles (GGA-PBE) data for a geometry-optimized YIr3Se structure, as listed in Alexandria via LeMat-Bulk.

abc: 4.649 4.649 4.649
angles: 90.00 90.00 90.00
Space group Pm-3m (No. 221)
One atom of each set of equivalent atoms:
Y 0.000 0.000 0.000
Ir 0.000 0.500 0.500
Se 0.500 0.500 0.500

Results
As for the uncorrected formation energy: 0.369 eV/atom. The calculation puts the total energy at -34.7 eV/cell. The value obtained for the relative energy among the computed polymorphs is 0 meV per atom.

First-principles (GGA-PBE) data for a geometry-optimized YIr2Se structure, as listed in Alexandria via LeMat-Bulk.

abc: 3.131 3.131 7.331
angles: 90.00 90.00 90.00
Space group P4/mmm (No. 123)
One atom of each set of equivalent atoms:
Y 0.000 0.000 0.000
Ir 0.500 0.500 0.285
Se 0.000 0.000 0.500

Results
As for the uncorrected formation energy: -0.139 eV/atom. The calculation puts the total energy at -28.2 eV/cell.

First-principles (GGA-PBE) data for a geometry-optimized YIr2Se structure, as listed in Alexandria via LeMat-Bulk.

abc: 3.262 4.454 5.216
angles: 90.00 102.43 90.00
Space group P2/m (No. 10)
One atom of each set of equivalent atoms:
Y 0.000 0.000 0.000
Ir 0.382 0.500 0.736
Se 0.500 0.000 0.500

Results
As for the uncorrected formation energy: -0.276 eV/atom. The calculation puts the total energy at -28.8 eV/cell.

First-principles (GGA-PBE) data for a geometry-optimized YIr2Se structure, as listed in Alexandria via LeMat-Bulk.

abc: 5.623 9.807 3.159
angles: 90.00 123.39 90.00
Space group C2/m (No. 12)
One atom of each set of equivalent atoms:
Y 0.000 0.000 0.000
Ir 0.250 0.250 0.500
Se 0.000 0.500 0.000

Results
As for the uncorrected formation energy: -0.196 eV/atom. The calculation puts the total energy at -56.9 eV/cell.

First-principles (GGA-PBE) data for a geometry-optimized YIr2Se structure, as listed in Alexandria via LeMat-Bulk.

abc: 4.731 3.137 4.772
angles: 90.00 90.33 90.00
Space group P2/m (No. 10)
One atom of each set of equivalent atoms:
Y 0.000 0.000 0.000
Ir 0.500 0.000 0.500
Ir 0.500 0.500 0.000
Se 0.000 0.500 0.500

Results
As for the uncorrected formation energy: -0.271 eV/atom. The calculation puts the total energy at -28.8 eV/cell.

First-principles (GGA-PBE) data for a geometry-optimized Y4IrSe3 structure, as listed in Alexandria via LeMat-Bulk.

abc: 8.377 11.681 4.042
angles: 90.00 90.00 90.00
Space group Cmmm (No. 65)
One atom of each set of equivalent atoms:
Y 0.000 0.239 0.000
Y 0.228 0.000 0.500
Ir 0.000 0.000 0.000
Se 0.000 0.500 0.000
Se 0.250 0.250 0.500

Results
As for the uncorrected formation energy: -1.529 eV/atom. The calculation puts the total energy at -114.8 eV/cell.

First-principles (GGA-PBE) data for a geometry-optimized YIr4Se structure, as listed in Alexandria via LeMat-Bulk.

abc: 7.520 7.520 7.520
angles: 90.00 90.00 90.00
Space group F-43m (No. 216)
One atom of each set of equivalent atoms:
Y 0.000 0.000 0.000
Ir 0.125 0.125 0.625
Se 0.250 0.250 0.250

Results
As for the uncorrected formation energy: -0.027 eV/atom. The calculation puts the total energy at -182.2 eV/cell.

First-principles (GGA-PBE) data for a geometry-optimized ZnIrSe2 structure, as listed in Alexandria via LeMat-Bulk.

abc: 2.951 3.266 7.882
angles: 90.00 90.00 90.00
Space group Pmmm (No. 47)
One atom of each set of equivalent atoms:
Zn 0.000 0.000 0.000
Ir 0.000 0.000 0.500
Se 0.500 0.500 0.300

Results
As for the uncorrected formation energy: 0.345 eV/atom. The calculation puts the total energy at -15.7 eV/cell.